Here is a geometry-optimized RbAu6 structure from Alexandria via LeMat-Bulk. Energies are from PBE.

Geometry as extended XYZ:
```
28
Lattice="-2.9292 0.4841 -5.0544 -7.9663 -0.1411 4.6032 0.3205 11.3687 0.9031" Properties=species:S:1:pos:R:3 pbc="T T T"
Rb -3.7978 11.0138 -1.8430
Rb -6.7773 0.6979 2.2949
Rb -7.9026 6.6274 0.1158
Rb -2.6725 5.0842 0.3361
Au -7.0282 0.4861 -0.9791
Au -3.5468 11.2256 1.4311
Au -2.8966 5.8236 -2.8623
Au -7.6785 5.8881 3.3143
Au -3.4550 2.1312 2.1336
Au -5.7182 9.3488 0.7373
Au -8.8031 3.6012 2.1202
Au -3.1738 8.3422 -4.0873
Au -7.1201 9.5805 -1.6817
Au -4.8568 2.3629 -0.2854
Au -1.7719 8.1105 -1.6683
Au -7.4012 3.3695 4.5392
Au -1.8843 1.7454 -0.4404
Au -8.6907 9.9662 0.8923
Au -5.8000 4.0680 2.0513
Au -4.7750 7.6437 -1.5994
Au -7.0047 8.6463 3.1880
Au -3.5704 3.0653 -2.7360
Au -3.0280 8.4885 0.8682
Au -7.5471 3.2232 -0.4163
Au -5.1108 6.7937 1.9130
Au -5.4642 4.9180 -1.4610
Au -1.0277 10.4101 -0.1070
Au -9.5473 1.3015 0.5589
```

Total magnetization = 0.00 μB per formula unit
Space-group type = Pnma, No. 62
Polymorph energy (0 for the lowest one) = 0 meV per atom
Calculated formation energy = -0.3 eV/f.u.



Here is a geometry-optimized Rb6Au5 structure from Alexandria via LeMat-Bulk. Energies are from PBE.

Geometry as extended XYZ:
```
11
Lattice="-7.4143 -0.2650 -4.4162 0.0536 -7.0320 -5.1665 -3.1326 -0.5164 8.0395" Properties=species:S:1:pos:R:3 pbc="T T T"
Rb -5.5282 -5.3765 -7.1202
Rb -1.8326 -1.9205 -2.4625
Rb -7.5120 -1.1513 1.5270
Rb -3.9527 -4.3725 1.1724
Rb -2.9813 -6.6622 -3.0703
Rb -6.5407 -3.4409 -2.7156
Au -3.6804 -3.6485 -4.7914
Au -1.0319 -4.8905 -0.7235
Au -2.0472 -2.6580 3.5965
Au -5.8122 -6.4164 -1.0462
Au -4.6811 -1.3970 -0.4971
```

Total magnetization = 0.17 μB per formula unit
Space-group type = C2/m, No. 12
Calculated formation energy = -2.7 eV/f.u.



Here is a geometry-optimized Rb13Au2 structure from Alexandria via LeMat-Bulk. Energies are from PBE.

Geometry as extended XYZ:
```
15
Lattice="-8.0398 1.2542 -2.8729 -2.5145 -7.3305 8.0091 0.6017 12.6835 3.8500" Properties=species:S:1:pos:R:3 pbc="T T T"
Rb -7.6836 -2.5886 3.0291
Rb -2.2690 9.1958 5.9572
Rb 0.0000 0.0000 0.0000
Rb -3.1381 1.2573 9.3356
Rb -6.8145 5.3499 -0.3494
Rb -8.3754 5.9717 4.3645
Rb -1.5772 0.6355 4.6217
Rb -6.4501 1.5997 5.5857
Rb -3.5025 5.0075 3.4006
Rb -5.1985 5.6405 8.0783
Rb -4.7541 0.9667 0.9079
Rb -5.5065 9.5298 2.1622
Rb -4.4461 -2.9226 6.8240
Au -8.1941 4.0893 7.2662
Au -1.7584 2.5179 1.7201
```

Total magnetization = 0.00 μB per formula unit
Space-group type = P-1, No. 2
Polymorph energy (0 for the lowest one) = 0 meV per atom
Calculated formation energy = -1.2 eV/f.u.



Number 1: N(E_F) 0.24 states/eV per atom. Number 2: N(E_F) 0.47 states/eV per atom. Number 3: N(E_F) 0.76 states/eV per atom.